Entry 1:
VASP calculation (PBE) on a relaxed Ni2MoRu crystal.

a = 5.8094 Å, b = 4.5686 Å, c = 2.6494 Å
α = 90.11°, β = 62.67°, γ = 120.18°
Last column: nearest neighbours and their distance in Å.
Atoms (fractional coordinates):
1 Mo 0.5000 0.5000 0.0000  2 Ru 2.58, 8 Ni 2.64, 2 Mo 2.65
2 Ni 0.0000 0.0000 0.0000  4 Ni 2.58-2.65, 4 Mo 2.64, 4 Ru 2.64
3 Ni 0.5000 0.0000 0.5000  4 Ni 2.58-2.65, 4 Ru 2.64, 4 Mo 2.64
4 Ru 0.0000 0.5000 0.5000  2 Mo 2.58, 8 Ni 2.64, 2 Ru 2.65

space group	C2/m (12)
crystal system	monoclinic
energy of formation from the pure elements	0.064	eV per atom
theoretical density	10127	kg/m3

---

Entry 2:
VASP calculation (PBE) on a relaxed NiMoRu4 crystal.

a = 5.0158 Å, b = 5.0158 Å, c = 5.0158 Å
α = 60.00°, β = 60.00°, γ = 60.00°
Last column: nearest neighbours and their distance in Å.
Atoms (fractional coordinates):
1 Ni 0.0000 0.0000 0.0000  12 Ru 2.94, 4 Mo 3.07
2 Mo 0.7500 0.7500 0.7500  12 Ru 2.94, 4 Ni 3.07
3 Ru 0.8764 0.3745 0.3745  6 Ru 2.50-2.52
4 Ru 0.3745 0.3745 0.8764  6 Ru 2.50-2.52
5 Ru 0.3745 0.8764 0.3745  6 Ru 2.50-2.52
6 Ru 0.3745 0.3745 0.3745  6 Ru 2.50-2.52

space group	F-43m (216)
crystal system	cubic
energy of formation from the pure elements	0.488	eV per atom
theoretical density	10401	kg/m3

---

> The highest theoretical density belongs to which entry?

NiMoRu4

---

> Look up the energy of formation from the pure elements of the first one.

0.064 eV per atom